(1)
First-principles (PBE-GGA) data for a geometry-optimized KMgPS2 structure, as listed in Alexandria.

- formation energy without anion corrections (meV/atom) = -71
- energy above the lowest structure with this stoichiometry (eV/atom) = 0.000

Cell: 5.006 5.006 4.883 Å, 90.00 90.00 90.00°
Element x y z (fractional)
1 Mg 0.000 0.000 0.000
2 P 0.000 0.000 0.500
3 K 0.500 0.500 0.500
4 S 0.000 0.500 0.000
5 S 0.500 0.000 0.000

(2)
First-principles (PBE-GGA) data for a geometry-optimized BeSb2As structure, as listed in Alexandria.

- formation energy without anion corrections (meV/atom) = 575
- energy above the lowest structure with this stoichiometry (eV/atom) = 0.418

Cell: 6.329 6.329 6.329 Å, 143.63 143.63 52.39°
Element x y z (fractional)
1 Sb 0.000 0.000 0.000
2 Sb 0.250 0.750 0.500
3 As 0.500 0.500 0.000
4 Be 0.750 0.250 0.500

(3)
First-principles (PBE-GGA) data for a geometry-optimized InFe2I6Cl2 structure, as listed in Alexandria.

- formation energy without anion corrections (meV/atom) = -380

Cell: 7.423 7.423 9.957 Å, 90.00 90.00 120.00°
Site moments in Bohr magnetons follow the coordinates.
Element x y z (fractional)
1 In 0.000 0.000 0.000  -0.10
2 Fe 0.333 0.667 0.734  3.49
3 Fe 0.667 0.333 0.266  3.49
4 I 0.330 0.335 0.819  0.12
5 I 0.005 0.670 0.819  0.12
6 I 0.665 0.995 0.819  0.12
7 I 0.670 0.665 0.181  0.12
8 I 0.995 0.330 0.181  0.12
9 I 0.335 0.005 0.181  0.12
10 Cl 0.333 0.667 0.518  0.23
11 Cl 0.667 0.333 0.482  0.23

(4)
First-principles (PBE-GGA) data for a geometry-optimized SbPb3Se2 structure, as listed in Alexandria.

- formation energy without anion corrections (meV/atom) = -305
- energy above the lowest structure with this stoichiometry (eV/atom) = 0.000

Cell: 6.114 8.924 7.732 Å, 106.76 113.29 90.00°
Element x y z (fractional)
1 Sb 0.000 0.750 0.000
2 Sb 0.000 0.250 0.000
3 Pb 0.500 0.250 0.000
4 Pb 0.500 0.750 0.000
5 Pb 0.171 0.086 0.342
6 Pb 0.828 0.414 0.658
7 Pb 0.172 0.586 0.342
8 Pb 0.829 0.914 0.658
9 Se 0.660 0.580 0.320
10 Se 0.660 0.080 0.320
11 Se 0.340 0.920 0.680
12 Se 0.340 0.420 0.680

(5)
First-principles (PBE-GGA) data for a geometry-optimized Y2TaHg structure, as listed in Alexandria.

- ΔH_f (0 K) (eV/atom) = 0.162

Cell: 10.331 10.331 10.331 Å, 18.89 18.89 18.89°
Site moments in Bohr magnetons follow the coordinates.
Element x y z (fractional)
1 Hg 0.250 0.250 0.250  0.02
2 Ta 0.750 0.750 0.750  0.10
3 Y 0.001 0.001 0.001  0.09
4 Y 0.499 0.499 0.499  0.09

(6)
First-principles (PBE-GGA) data for a geometry-optimized CuGeAu2N structure, as listed in Alexandria.

- formation energy without anion corrections (meV/atom) = 644
- energy above the lowest structure with this stoichiometry (eV/atom) = 0.000

Cell: 4.696 3.679 4.696 Å, 90.00 90.00 90.00°
Element x y z (fractional)
1 Ge 0.500 0.500 0.500
2 Au 0.000 0.000 0.500
3 Au 0.500 0.000 0.000
4 Cu 0.000 0.500 0.000
5 N 0.000 0.000 0.000

(7)
First-principles (PBE-GGA) data for a geometry-optimized Ni2Pt structure, as listed in Alexandria.

- ΔH_f (0 K) (eV/atom) = -0.037

Cell: 2.672 7.866 7.726 Å, 70.13 90.00 90.00°
Site moments in Bohr magnetons follow the coordinates.
Element x y z (fractional)
1 Ni 0.000 0.000 0.003  0.69
2 Ni 0.500 0.082 0.261  0.76
3 Ni 0.000 0.179 0.491  0.76
4 Ni 0.500 0.256 0.739  0.74
5 Ni 0.500 0.409 0.259  0.69
6 Ni 0.000 0.491 0.506  0.80
7 Ni 0.500 0.581 0.737  0.72
8 Ni 0.000 0.835 0.503  0.70
9 Pt 0.000 0.321 0.000  0.29
10 Pt 0.000 0.662 0.998  0.23
11 Pt 0.500 0.750 0.266  0.30
12 Pt 0.500 0.933 0.736  0.29

(8)
First-principles (PBE-GGA) data for a geometry-optimized CsKNa2Al structure, as listed in Alexandria.

- ΔH_f (0 K) (eV/atom) = 0.209

Cell: 6.214 6.214 6.725 Å, 90.00 90.00 90.00°
Element x y z (fractional)
1 Cs 0.500 0.500 0.500
2 Na 0.000 0.500 0.000
3 Na 0.500 0.000 0.000
4 K 0.000 0.000 0.500
5 Al 0.000 0.000 0.000

(9)
First-principles (PBE-GGA) data for a geometry-optimized Y2HoAlO structure, as listed in Alexandria.

- formation energy without anion corrections (meV/atom) = -1368

Cell: 4.687 4.748 4.748 Å, 90.00 90.00 90.00°
Element x y z (fractional)
1 Y 0.000 0.000 0.500
2 Y 0.000 0.500 0.000
3 Ho 0.500 0.000 0.000
4 Al 0.500 0.500 0.500
5 O 0.000 0.000 0.000

(10)
First-principles (PBE-GGA) data for a geometry-optimized BeAs2Ru structure, as listed in Alexandria.

- ΔH_f (0 K) (eV/atom) = 0.307

Cell: 4.217 4.217 3.274 Å, 90.00 90.00 90.00°
Element x y z (fractional)
1 Ru 0.000 0.500 0.500
2 As 0.000 0.000 0.000
3 As 0.500 0.500 0.000
4 Be 0.500 0.000 0.500

(11)
First-principles (PBE-GGA) data for a geometry-optimized Li3NpV2Te6 structure, as listed in Alexandria.

- formation energy without anion corrections (meV/atom) = -636

Cell: 7.071 7.071 7.368 Å, 99.29 99.29 119.95°
Site moments in Bohr magnetons follow the coordinates.
Element x y z (fractional)
1 Li 0.155 0.845 0.500  -0.01
2 Li 0.845 0.155 0.500  -0.01
3 Li 0.500 0.500 0.500  -0.01
4 Np 0.000 0.000 0.000  3.73
5 V 0.331 0.669 0.000  2.18
6 V 0.669 0.331 0.000  2.18
7 Te 0.919 0.561 0.760  -0.12
8 Te 0.719 0.719 0.236  -0.11
9 Te 0.081 0.439 0.240  -0.12
10 Te 0.561 0.919 0.760  -0.12
11 Te 0.281 0.281 0.764  -0.11
12 Te 0.439 0.081 0.240  -0.12

(12)
First-principles (PBE-GGA) data for a geometry-optimized ScTc2Os structure, as listed in Alexandria.

- energy above the lowest structure with this stoichiometry (eV/atom) = 0.019
- ΔH_f (0 K) (eV/atom) = -0.039

Cell: 5.250 5.250 4.447 Å, 64.87 64.87 34.39°
Element x y z (fractional)
1 Os 0.750 0.750 0.750
2 Sc 0.250 0.250 0.250
3 Tc 0.003 0.003 0.997
4 Tc 0.497 0.497 0.503

Repeat the twelfth record exactly.
First-principles (PBE-GGA) data for a geometry-optimized ScTc2Os structure, as listed in Alexandria.

- energy above the lowest structure with this stoichiometry (eV/atom) = 0.019
- ΔH_f (0 K) (eV/atom) = -0.039

Cell: 5.250 5.250 4.447 Å, 64.87 64.87 34.39°
Element x y z (fractional)
1 Os 0.750 0.750 0.750
2 Sc 0.250 0.250 0.250
3 Tc 0.003 0.003 0.997
4 Tc 0.497 0.497 0.503

What did the fifth record say?
First-principles (PBE-GGA) data for a geometry-optimized Y2TaHg structure, as listed in Alexandria.

- ΔH_f (0 K) (eV/atom) = 0.162

Cell: 10.331 10.331 10.331 Å, 18.89 18.89 18.89°
Site moments in Bohr magnetons follow the coordinates.
Element x y z (fractional)
1 Hg 0.250 0.250 0.250  0.02
2 Ta 0.750 0.750 0.750  0.10
3 Y 0.001 0.001 0.001  0.09
4 Y 0.499 0.499 0.499  0.09